A relaxed CoPb3 crystal, computed with GGA-PBE.

abc: 10.2494 10.2494 10.2494
angles: 19.20 19.20 19.20
Last column: nearest neighbours and their distance in Å.
Sites, in units of the cell vectors:
Co 0.0000 0.0000 0.0000  6 Pb 2.75
Pb 0.2697 0.2697 0.2697  3 Co 2.75
Pb 0.5000 0.5000 0.5000  12 Pb 3.42-3.68
Pb 0.7303 0.7303 0.7303  3 Co 2.75

Space-group type: R-3m (166)
DFT total energy, eV per atom: -4.249
M_tot, Bohr magnetons per cell: 1.05